(1)
PrYMgHg after structural relaxation, computed with PBE.

a b c (Å): 5.4036 5.4036 5.4036
angles (deg): 60.00 60.00 60.00
Sites, in units of the cell vectors:
Hg (0.5000, 0.5000, 0.5000)
Y (0.7500, 0.7500, 0.7500)
Pr (0.2500, 0.2500, 0.2500)
Mg (0.0000, 0.0000, 0.0000)

Energy of formation from the pure elements ... -6.36 kcal/mol of atoms
Energy ... -3.5609 eV per atom

=====

(2)
ZnWAu2 after structural relaxation, computed with PBE.

a b c (Å): 4.8302 4.8302 4.8302
angles (deg): 128.70 128.70 75.50
Sites, in units of the cell vectors:
Au (0.0000, 0.0000, 0.0000)
Au (0.5000, 0.5000, 0.0000)
W (0.2500, 0.7500, 0.5000)
Zn (0.7500, 0.2500, 0.5000)

Energy of formation from the pure elements ... 10.25 kcal/mol of atoms
Energy ... -4.7510 eV per atom

=====

(3)
Sr2ErSn3Pt4 after structural relaxation, computed with PBE.

a b c (Å): 4.6659 4.6659 11.1493
angles (deg): 90.00 90.00 90.00
Sites, in units of the cell vectors:
Sn (0.0000, 0.5000, 0.1215)
Sn (0.0000, 0.0000, 0.5000)
Sn (0.5000, 0.0000, 0.8785)
Sr (0.5000, 0.0000, 0.2303)
Sr (0.0000, 0.5000, 0.7697)
Pt (0.0000, 0.5000, 0.3599)
Pt (0.5000, 0.0000, 0.6401)
Pt (0.0000, 0.0000, 0.0000)
Pt (0.5000, 0.5000, 0.0000)
Er (0.5000, 0.5000, 0.5000)

Energy of formation from the pure elements ... -20.49 kcal/mol of atoms
Energy ... -5.2984 eV per atom

=====

Question: Which of these has the highest energy of formation from the pure elements?
Answer: ZnWAu2

=====

Question: Among the records above, which one has the lowest energy of formation from the pure elements?
Answer: Sr2ErSn3Pt4